(1)
{"formula": "Ca2OsSe", "functional": "PBEsol", "state": "optimized geometry", "lattice": [[4.132, 0.000, 0.000], [0.000, 4.132, 0.000], [0.000, 0.000, 9.985]], "species": ["Ca", "Ca", "Ca", "Ca", "Os", "Os", "Se", "Se"], "frac_coords": [[0.000, 0.000, 0.000], [0.000, 0.500, 0.250], [0.500, 0.000, 0.750], [0.500, 0.500, 0.500], [0.000, 0.000, 0.500], [0.500, 0.500, 0.000], [0.000, 0.500, 0.750], [0.500, 0.000, 0.250]], "sg": "I-4m2", "n_ef_per_ev_cell": 6.134, "dft_energy_ev_per_atom": -5.043}

=====

(2)
{"formula": "CaTc2OsSe", "functional": "PBEsol", "state": "optimized geometry", "lattice": [[4.537, 0.000, 0.000], [0.000, 4.537, 0.000], [0.000, 0.000, 4.672]], "species": ["Ca", "Tc", "Tc", "Os", "Se"], "frac_coords": [[0.000, 0.000, 0.000], [0.000, 0.500, 0.000], [0.500, 0.000, 0.000], [0.000, 0.000, 0.500], [0.500, 0.500, 0.500]], "sg": "P4/mmm", "n_ef_per_ev_cell": 6.863, "dft_energy_ev_per_atom": -5.229}